{"formula": "NpAlB", "functional": "PBE", "state": "optimized geometry", "m_tot_mub_per_atom": 1.14, "relative_energy_ev_per_atom": 0.964, "cell": [[-1.690, 1.415, 3.679], [-4.237, 0.582, 0.330], [-2.344, -2.639, 2.438]], "species": ["Al", "B", "Np"], "frac_coords": [[0.500, 0.500, 0.500], [0.000, 0.000, 0.000], [0.250, 0.250, 0.250]]}